1.
CaInAg4 PBE optimized geometry; magnetization = 0.00 μB per formula unit; space group = F-43m, No. 216; E_tot = -2.90 eV/atom; energy relative to the elements = -0.207 eV per atom
1.0
-4.5855 3.1871 0.7766
-3.2765 -0.8269 4.5131
-0.1080 3.8219 4.1435
Ag Ca In
4 1 1
Direct
0.1245 0.6252 0.6252 Ag
0.6252 0.6252 0.6252 Ag
0.6252 0.1245 0.6252 Ag
0.6252 0.6252 0.1245 Ag
0.2500 0.2500 0.2500 Ca
0.0000 0.0000 0.0000 In


2.
BaZr2Rh PBE optimized geometry; magnetization = 0.00 μB per formula unit; space group = I4_1/amd, No. 141; ΔE to the lowest computed polymorph = 0.6655 eV/atom; E_tot = -6.02 eV/atom; energy relative to the elements = 0.570 eV per atom
1.0
-0.8870 -0.2288 -5.4102
4.9202 -2.3235 -0.7084
-1.7085 -9.4560 -2.1027
Rh Ba Zr
2 2 4
Direct
0.5000 0.5000 0.0000 Rh
0.2500 0.7500 0.5000 Rh
0.0000 0.0000 0.0000 Ba
0.7500 0.2500 0.5000 Ba
0.3751 0.1250 0.2500 Zr
0.3749 0.6250 0.2500 Zr
0.3750 0.6249 0.7500 Zr
0.8750 0.6251 0.7500 Zr


3.
ReMo2Cl PBE optimized geometry; magnetization = 0.00 μB per formula unit; space group = R-3m, No. 166; ΔE to the lowest computed polymorph = 0.0085 eV/atom; E_tot = -8.74 eV/atom
1.0
-2.5475 -2.2345 8.1377
-2.1771 -4.8603 7.0244
0.0669 -3.4327 8.1189
Cl Mo Re
1 2 1
Direct
0.7500 0.7500 0.7500 Cl
0.0011 0.0011 0.0011 Mo
0.4989 0.4989 0.4989 Mo
0.2500 0.2500 0.2500 Re


4.
La4Dy11Ho9 PBE optimized geometry; magnetization = 0.00 μB per formula unit; space group = Cmmm, No. 65; E_tot = -4.60 eV/atom; energy relative to the elements = 0.048 eV per atom
1.0
3.6040 0.0000 0.0000
0.0000 14.1217 -6.5012
0.0000 -0.4286 15.5404
La Dy Ho
4 11 9
Direct
0.5000 0.5828 0.7571 La
0.5000 0.4172 0.2429 La
0.5000 0.7571 0.5828 La
0.5000 0.2429 0.4172 La
0.0000 0.5956 0.9683 Dy
0.0000 0.4044 0.0317 Dy
0.0000 0.9683 0.5956 Dy
0.0000 0.0317 0.4044 Dy
0.0000 0.6251 0.3749 Dy
0.0000 0.3749 0.6251 Dy
0.0000 0.8128 0.1872 Dy
0.0000 0.1872 0.8128 Dy
0.0000 0.0000 0.0000 Dy
0.0000 0.7922 0.7922 Dy
0.0000 0.2078 0.2078 Dy
0.5000 0.6135 0.1739 Ho
0.5000 0.3865 0.8261 Ho
0.5000 0.1739 0.6135 Ho
0.5000 0.8261 0.3865 Ho
0.5000 0.7981 0.9862 Ho
0.5000 0.2019 0.0138 Ho
0.5000 0.9862 0.7981 Ho
0.5000 0.0138 0.2019 Ho
0.5000 0.5000 0.5000 Ho


5.
IrRhBr PBE optimized geometry; magnetization = 0.01 μB per formula unit; space group = I4mm, No. 107; ΔE to the lowest computed polymorph = 0.0657 eV/atom; E_tot = -5.19 eV/atom
1.0
6.0520 -0.0065 0.0000
4.5408 4.0009 0.0000
-5.2964 -1.9972 2.1415
Ir Rh Br
1 1 1
Direct
0.3157 0.3157 0.0000 Ir
0.6827 0.6827 0.0000 Rh
0.0016 0.0016 0.0000 Br


6.
BaGe2Te3 PBE optimized geometry; magnetization = 0.00 μB per formula unit; space group = C2/m, No. 12; E_tot = -3.93 eV/atom
1.0
4.3088 0.0000 0.0000
0.0000 9.4105 -0.0026
-2.1544 -2.1397 10.6455
Ba Ge Te
2 4 6
Direct
0.3751 0.0077 0.7502 Ba
0.6249 0.9923 0.2498 Ba
0.2624 0.6178 0.5248 Ge
0.7376 0.3822 0.4752 Ge
0.9409 0.7882 0.8818 Ge
0.0591 0.2118 0.1182 Ge
0.2448 0.1886 0.4895 Te
0.0514 0.7255 0.1028 Te
0.3883 0.6096 0.7766 Te
0.7552 0.8114 0.5105 Te
0.6117 0.3904 0.2234 Te
0.9486 0.2745 0.8972 Te


7.
CsRh3Cl PBE optimized geometry; magnetization = 0.83 μB per formula unit; space group = Pm-3m, No. 221; ΔE to the lowest computed polymorph = 0.0000 eV/atom; E_tot = -4.06 eV/atom
1.0
-3.8476 -1.9201 1.8778
-0.1750 -3.0944 -3.5228
2.6800 -2.9588 2.4658
Cs Rh Cl
1 3 1
Direct
0.5000 0.5000 0.5000 Cs
0.0000 0.5000 0.0000 Rh
0.0000 0.0000 0.5000 Rh
0.5000 0.0000 0.0000 Rh
0.0000 0.0000 0.0000 Cl


8.
TiCrW2Se PBE optimized geometry; magnetization = 0.13 μB per formula unit; space group = P4/mmm, No. 123; E_tot = -7.36 eV/atom
1.0
4.6348 0.0000 0.0000
0.0000 4.5675 0.0000
0.0000 0.0000 4.6348
Cr Se W Ti
1 1 2 1
Direct
0.5000 0.5000 0.5000 Cr
0.0000 0.5000 0.0000 Se
0.0000 0.0000 0.5000 W
0.5000 0.0000 0.0000 W
0.0000 0.0000 0.0000 Ti


9.
LiPa2AuN4 PBE optimized geometry; magnetization = 0.00 μB per formula unit; space group = Fmm2, No. 42; E_tot = -8.05 eV/atom
1.0
-3.2217 3.7905 -0.7820
-1.7389 -2.3324 -4.1104
-0.4832 -2.7524 4.8480
Li Pa Au N
1 2 1 4
Direct
0.4158 0.4158 0.0000 Li
0.1880 0.6880 0.5000 Pa
0.6880 0.1880 0.5000 Pa
0.9368 0.9368 0.0000 Au
0.9574 0.4386 0.0000 N
0.4386 0.9574 0.0000 N
0.1937 0.1937 0.5145 N
0.6792 0.6792 0.4855 N


10.
NaZr2Bi2 PBE optimized geometry; magnetization = 0.00 μB per formula unit; space group = I4/mmm, No. 139; ΔE to the lowest computed polymorph = 0.0759 eV/atom; E_tot = -5.35 eV/atom; energy relative to the elements = -0.116 eV per atom
1.0
-1.6113 -4.2942 0.9906
3.0658 -1.8500 -3.0326
5.4594 -3.6612 4.1224
Na Bi Zr
1 2 2
Direct
0.0000 0.0000 0.0000 Na
0.3811 0.3811 0.2379 Bi
0.6189 0.6189 0.7621 Bi
0.7500 0.2500 0.5000 Zr
0.2500 0.7500 0.5000 Zr


11.
Cd3RePt PBE optimized geometry; magnetization = 4.41 μB per formula unit; space group = Pm-3m, No. 221; ΔE to the lowest computed polymorph = 0.0000 eV/atom; E_tot = -3.05 eV/atom; energy relative to the elements = 1.193 eV per atom
1.0
5.1394 0.0000 0.0000
0.0000 5.1394 0.0000
0.0000 0.0000 5.1394
Re Pt Cd
1 1 3
Direct
0.5000 0.5000 0.5000 Re
0.0000 0.0000 0.0000 Pt
0.0000 0.5000 0.0000 Cd
0.0000 0.0000 0.5000 Cd
0.5000 0.0000 0.0000 Cd


12.
KCeTl2 PBE optimized geometry; magnetization = 1.13 μB per formula unit; space group = P4/mmm, No. 123; ΔE to the lowest computed polymorph = 0.0000 eV/atom; E_tot = -3.07 eV/atom; energy relative to the elements = -0.126 eV per atom
1.0
3.9348 0.0000 0.0000
0.0000 3.9348 0.0000
0.0000 0.0000 8.7912
Tl K Ce
2 1 1
Direct
0.0000 0.0000 0.7881 Tl
0.0000 0.0000 0.2119 Tl
0.5000 0.5000 0.5000 K
0.5000 0.5000 0.0000 Ce


13.
Pm6Te5Rh PBE optimized geometry; magnetization = 0.00 μB per formula unit; space group = C2/m, No. 12; E_tot = -5.61 eV/atom
1.0
7.5244 -0.6901 -1.3628
-4.9172 7.0968 -2.0841
0.0196 -0.5375 7.6794
Te Rh Pm
5 1 6
Direct
0.3197 0.8197 0.6394 Te
0.6640 0.6640 0.3281 Te
0.0000 0.5000 0.0000 Te
0.3360 0.3360 0.6719 Te
0.6803 0.1803 0.3606 Te
0.0000 0.0000 0.0000 Rh
0.1497 0.3752 0.3020 Pm
0.1523 0.9268 0.3020 Pm
0.4650 0.2243 0.0000 Pm
0.5350 0.7757 0.0000 Pm
0.8477 0.0732 0.6980 Pm
0.8503 0.6248 0.6980 Pm


14.
La3Nd5Ga2 PBE optimized geometry; magnetization = 0.00 μB per formula unit; space group = P4/mbm, No. 127; E_tot = -4.62 eV/atom; energy relative to the elements = -0.151 eV per atom
1.0
4.5888 0.0000 0.0000
0.0000 12.0026 0.0000
0.0000 0.0000 12.0026
La Nd Ga
6 10 4
Direct
0.0000 0.3261 0.8261 La
0.0000 0.6739 0.1739 La
0.0000 0.1739 0.3261 La
0.0000 0.8261 0.6739 La
0.0000 0.0000 0.0000 La
0.0000 0.5000 0.5000 La
0.5000 0.2153 0.0743 Nd
0.5000 0.7847 0.9257 Nd
0.5000 0.9257 0.2153 Nd
0.5000 0.0743 0.7847 Nd
0.5000 0.2847 0.5743 Nd
0.5000 0.7153 0.4257 Nd
0.5000 0.5743 0.7153 Nd
0.5000 0.4257 0.2847 Nd
0.5000 0.0000 0.5000 Nd
0.5000 0.5000 0.0000 Nd
0.0000 0.1234 0.6234 Ga
0.0000 0.8766 0.3766 Ga
0.0000 0.3766 0.1234 Ga
0.0000 0.6234 0.8766 Ga


15.
La2GdSb PBE optimized geometry; magnetization = 7.41 μB per formula unit; space group = P4/mmm, No. 123; ΔE to the lowest computed polymorph = 0.0000 eV/atom; E_tot = -7.60 eV/atom
1.0
-3.9421 -1.4846 -2.6731
1.6492 -4.6383 0.1440
-2.5281 -0.7698 4.1558
Sb Gd La
1 1 2
Direct
0.5000 0.5000 0.5000 Sb
0.5000 0.0000 0.0000 Gd
0.0000 0.0000 0.5000 La
0.0000 0.5000 0.0000 La


16.
Fe6Pd10Au PBE optimized geometry; magnetization = 22.70 μB per formula unit; space group = P-31m, No. 162; E_tot = -6.22 eV/atom; energy relative to the elements = 0.014 eV per atom
1.0
-3.6411 2.9601 2.5182
0.9328 -4.0876 6.1537
4.1696 6.0694 -1.1056
Fe Pd Au
6 10 1
Direct
0.6924 0.3598 0.3598 Fe
0.6924 0.0000 0.6402 Fe
0.6924 0.6402 0.0000 Fe
0.3076 0.6402 0.6402 Fe
0.3076 0.0000 0.3598 Fe
0.3076 0.3598 0.0000 Fe
0.8183 0.7011 0.7011 Pd
0.8183 0.0000 0.2989 Pd
0.8183 0.2989 0.0000 Pd
0.1817 0.2989 0.2989 Pd
0.1817 0.0000 0.7011 Pd
0.1817 0.7011 0.0000 Pd
0.5000 0.3333 0.6667 Pd
0.5000 0.6667 0.3333 Pd
0.0000 0.6667 0.3333 Pd
0.0000 0.3333 0.6667 Pd
0.5000 0.0000 0.0000 Au


17.
InSnHgCl6 PBE optimized geometry; magnetization = 0.68 μB per formula unit; space group = P312, No. 149; E_tot = -2.85 eV/atom
1.0
6.7348 0.0000 0.0000
3.3675 5.8325 -0.0002
0.0001 -0.0006 9.0060
In Sn Hg Cl
1 1 1 6
Direct
0.3333 0.3333 0.5000 In
0.6666 0.6667 0.5000 Sn
0.0000 0.0000 0.0000 Hg
0.0121 0.3564 0.3347 Cl
0.3564 0.0121 0.6653 Cl
0.6315 0.3565 0.6653 Cl
0.0120 0.6315 0.6653 Cl
0.3564 0.6315 0.3347 Cl
0.6315 0.0120 0.3347 Cl


18.
CaZn3Cu PBE optimized geometry; magnetization = 0.00 μB per formula unit; space group = Pm-3m, No. 221; ΔE to the lowest computed polymorph = 0.1378 eV/atom; E_tot = -2.04 eV/atom; energy relative to the elements = -0.055 eV per atom
1.0
4.6646 0.0000 0.0000
0.0000 4.6646 0.0000
0.0000 0.0000 4.6646
Zn Ca Cu
3 1 1
Direct
0.0000 0.5000 0.0000 Zn
0.0000 0.0000 0.5000 Zn
0.5000 0.0000 0.0000 Zn
0.5000 0.5000 0.5000 Ca
0.0000 0.0000 0.0000 Cu


19.
Cd2HgAu PBE optimized geometry; magnetization = 0.00 μB per formula unit; space group = R-3m, No. 166; ΔE to the lowest computed polymorph = 0.0456 eV/atom; E_tot = -1.39 eV/atom; energy relative to the elements = -0.036 eV per atom
1.0
-9.3595 -2.2444 6.4367
-9.6649 -4.5150 4.5027
-7.9243 -4.8314 6.9233
Au Hg Cd
1 1 2
Direct
0.7500 0.7500 0.7500 Au
0.2500 0.2500 0.2500 Hg
0.0096 0.0096 0.0096 Cd
0.4904 0.4904 0.4904 Cd


20.
Ce3PmZr2N6 PBE optimized geometry; magnetization = 0.00 μB per formula unit; space group = C2/m, No. 12; E_tot = -9.04 eV/atom
1.0
5.9755 0.0009 0.0009
-2.9855 5.1762 0.0009
-0.9964 -1.7252 5.6996
Ce Pm Zr N
3 1 2 6
Direct
0.1654 0.8346 0.5000 Ce
0.8346 0.1654 0.5000 Ce
0.5000 0.5000 0.5000 Ce
0.0000 0.0000 0.0000 Pm
0.3333 0.6667 0.0000 Zr
0.6667 0.3333 0.0000 Zr
0.9214 0.5686 0.7649 N
0.7234 0.7234 0.2309 N
0.0786 0.4314 0.2351 N
0.5686 0.9214 0.7649 N
0.2766 0.2766 0.7691 N
0.4314 0.0786 0.2351 N